# 1
The following is a DFT calculation (PBE) of a relaxed Y2ReN crystal.

Values from the calculation:
Energy relative to the elements, uncorrected in meV/atom: -20
DOS at the Fermi energy in states/eV/cell: 8.9

The structure in extended XYZ format:
```
12
Lattice="3.218 0.000 0.000 -1.609 2.787 0.000 0.000 0.000 25.314" Properties=species:S:1:pos:R:3 pbc="T T T"
Y 0.000 0.000 2.800
Y 0.000 0.000 22.515
Y 0.000 1.858 14.077
Y 0.000 1.858 19.676
Y 1.609 0.929 5.638
Y 1.609 0.929 11.238
Re 0.000 0.000 0.000
Re 0.000 1.858 16.876
Re 1.609 0.929 8.438
N 0.000 0.000 12.657
N 0.000 1.858 4.219
N 1.609 0.929 21.095
```

# 2
The following is a DFT calculation (PBE) of a relaxed Ba2CdCu3As4 crystal.

Values from the calculation:
Energy of formation from the pure elements in meV per atom: -529
DOS at the Fermi energy in states/eV/cell: 2.6

The structure in extended XYZ format:
```
10
Lattice="4.533 0.000 0.000 0.000 4.533 0.000 0.000 0.000 10.620" Properties=species:S:1:pos:R:3 pbc="T T T"
Ba 0.000 2.267 2.553
Ba 2.267 0.000 8.067
Cd 0.000 0.000 5.310
Cu 0.000 2.267 9.446
Cu 2.267 0.000 1.174
Cu 2.267 2.267 5.310
As 0.000 0.000 0.000
As 0.000 2.267 6.860
As 2.267 0.000 3.760
As 2.267 2.267 0.000
```